First-principles (PBE) data for a relaxed InIr2Se crystal, as listed in Alexandria via LeMat-Bulk.

Cell lengths 4.7288, 4.7288, 3.0514 Å; angles 90.00, 90.00, 100.56 degrees
With the nearest neighbours (Å) after each atom.
Positions (direct):
In 0.0000 0.5000 0.5000  8 Ir 2.81, 2 Se 3.02, 2 In 3.05
Ir 0.0000 0.0000 0.0000  4 In 2.81, 4 Se 2.81, 4 Ir 3.02-3.05
Ir 0.5000 0.5000 0.0000  4 Se 2.81, 4 In 2.81, 4 Ir 3.02-3.05
Se 0.5000 0.0000 0.5000  8 Ir 2.81, 2 In 3.02, 2 Se 3.05

Summary:
Final energy in eV per atom: -5.691
DOS(E_F) in states/eV/atom: 0.403
SG: Cmmm
E_form (uncorrected) in eV per atom: 0.296
ΔE to the lowest computed polymorph in meV per atom: 128